An optimized crystal structure of UNb2N. Source: Alexandria, functional PBE.

```
UNb2N
1.0
-2.932 0.740 -1.417
-1.576 -1.834 2.303
-0.458 4.598 3.349
N Nb U
1 2 1
Cartesian
-2.483 1.752 2.117
-0.335 3.367 2.452
-0.123 1.231 0.897
-2.254 -0.547 0.443
```

The raw formation energy comes out at 731 meV per atom. The calculation puts the volume at 64 Å³ per cell. As for the distance to the lowest polymorph of the same formula: 813 meV/atom. The space group is P4/mmm, No. 123.